[1]
HgMoN3 after structural relaxation. Source: Alexandria, functional PBE.

Theoretical density in g/cm³: 8.52
Total magnetization in μB/f.u.: 0.0
Formation energy from raw total energies in eV/atom: 2.86

a = 4.0403 Å, b = 4.0403 Å, c = 4.0403 Å
α = 90.00°, β = 90.00°, γ = 90.00°
Element x y z (fractional)
Hg1 0.0000 0.0000 0.0000
Mo1 0.5000 0.5000 0.5000
N1 0.0000 0.0000 0.5000
N2 0.0000 0.5000 0.0000
N3 0.5000 0.0000 0.0000



[2]
NdBe4Ir2Pt after structural relaxation. Source: Alexandria, functional PBE.

Formation energy from the elements in meV per atom: -548.5
Theoretical density in g/cm³: 11.29
Total magnetization in μB/f.u.: 0.0

a = 8.6313 Å, b = 8.6313 Å, c = 8.6313 Å
α = 26.36°, β = 26.36°, γ = 26.36°
Element x y z (fractional)
Nd1 0.0000 0.0000 0.0000
Be1 0.1296 0.1296 0.1296
Be2 0.4104 0.4104 0.4104
Be3 0.5896 0.5896 0.5896
Be4 0.8704 0.8704 0.8704
Ir1 0.2386 0.2386 0.2386
Ir2 0.7614 0.7614 0.7614
Pt1 0.5000 0.5000 0.5000



[3]
Ba3SrAl8 after structural relaxation. Source: Alexandria, functional PBE.

Formation energy from the elements in meV per atom: -207.4
Theoretical density in g/cm³: 3.89
Total magnetization in μB/f.u.: 0.0

a = 10.3916 Å, b = 10.3916 Å, c = 10.3916 Å
α = 33.54°, β = 33.54°, γ = 33.54°
Element x y z (fractional)
Ba1 0.0000 0.0000 0.0000
Ba2 0.1241 0.1241 0.1241
Ba3 0.4995 0.4995 0.4995
Sr1 0.6246 0.6246 0.6246
Al1 0.0602 0.5612 0.5612
Al2 0.0630 0.0630 0.5636
Al3 0.0630 0.5636 0.0630
Al4 0.3128 0.3128 0.3128
Al5 0.5612 0.0602 0.5612
Al6 0.5612 0.5612 0.0602
Al7 0.5636 0.0630 0.0630
Al8 0.8112 0.8112 0.8112



[4]
Ac2Pm3Se8 after structural relaxation. Source: Alexandria, functional PBE.

Theoretical density in g/cm³: 5.63
Total magnetization in μB/f.u.: 0.0
Formation energy from raw total energies in eV/atom: -1.78

a = 8.6741 Å, b = 8.6741 Å, c = 7.2832 Å
α = 107.05°, β = 107.05°, γ = 60.40°
Element x y z (fractional)
Ac1 0.2334 0.2334 0.1565
Ac2 0.7666 0.7666 0.8435
Pm1 0.2375 0.7625 0.5000
Pm2 0.5000 0.5000 0.0000
Pm3 0.7625 0.2375 0.5000
Se1 0.1243 0.1243 0.4473
Se2 0.1509 0.6105 0.0894
Se3 0.3876 0.3876 0.5770
Se4 0.3895 0.8491 0.9106
Se5 0.6105 0.1509 0.0894
Se6 0.6124 0.6124 0.4230
Se7 0.8491 0.3895 0.9106
Se8 0.8757 0.8757 0.5527



[5]
La4PrDy5 after structural relaxation. Source: Alexandria, functional PBE.

Formation energy from the elements in meV per atom: 22.8
Theoretical density in g/cm³: 7.33
Total magnetization in μB/f.u.: 0.0
Energy relative to the lowest polymorph listed for this composition in meV per atom: 0

a = 3.6866 Å, b = 3.6866 Å, c = 25.1658 Å
α = 90.00°, β = 90.00°, γ = 90.00°
Element x y z (fractional)
La1 0.0000 0.0000 0.0999
La2 0.0000 0.0000 0.2999
La3 0.0000 0.0000 0.7001
La4 0.0000 0.0000 0.9001
Pr1 0.0000 0.0000 0.5000
Dy1 0.5000 0.5000 0.0000
Dy2 0.5000 0.5000 0.1999
Dy3 0.5000 0.5000 0.4006
Dy4 0.5000 0.5000 0.5994
Dy5 0.5000 0.5000 0.8001



[6]
SrTc2Mo after structural relaxation. Source: Alexandria, functional PBE.

Formation energy from the elements in meV per atom: 1066.6
Theoretical density in g/cm³: 6.09
Total magnetization in μB/f.u.: 0.0
Energy relative to the lowest polymorph listed for this composition in meV per atom: 565

a = 9.1994 Å, b = 9.1994 Å, c = 9.1994 Å
α = 148.92°, β = 148.92°, γ = 44.53°
Element x y z (fractional)
Sr1 0.3750 0.6250 0.7500
Sr2 0.6250 0.3750 0.2500
Tc1 0.0000 0.0000 0.0000
Tc2 0.0000 0.0000 0.5000
Tc3 0.0000 0.5000 0.0000
Tc4 0.5000 0.0000 0.5000
Mo1 0.1250 0.8750 0.2500
Mo2 0.8750 0.1250 0.7500



[7]
MnP2Ru after structural relaxation. Source: Alexandria, functional PBE.

Formation energy from the elements in meV per atom: -410.6
Theoretical density in g/cm³: 7.01
Total magnetization in μB/f.u.: 0.0
Energy relative to the lowest polymorph listed for this composition in meV per atom: 0

a = 4.1282 Å, b = 4.1282 Å, c = 4.7197 Å
α = 103.43°, β = 103.43°, γ = 41.54°
Element x y z (fractional)
Mn1 0.0000 0.0000 0.0000
P1 0.2873 0.2873 0.0353
P2 0.5228 0.5228 0.6274
Ru1 0.7762 0.7762 0.4236



[8]
Pr2ScSb3 after structural relaxation. Source: Alexandria, functional PBE.

Theoretical density in g/cm³: 6.21
Total magnetization in μB/f.u.: 0.0
Formation energy from raw total energies in eV/atom: -1.07
Energy relative to the lowest polymorph listed for this composition in meV per atom: 0

a = 7.6905 Å, b = 7.6905 Å, c = 7.6721 Å
α = 99.67°, β = 99.67°, γ = 120.06°
Element x y z (fractional)
Pr1 0.0000 0.0000 0.0000
Pr2 0.1616 0.8384 0.5000
Pr3 0.5000 0.5000 0.5000
Pr4 0.8384 0.1616 0.5000
Sc1 0.3315 0.6685 0.0000
Sc2 0.6685 0.3315 0.0000
Sb1 0.0784 0.4253 0.2349
Sb2 0.2715 0.2715 0.7711
Sb3 0.4253 0.0784 0.2349
Sb4 0.5747 0.9216 0.7651
Sb5 0.7285 0.7285 0.2289
Sb6 0.9216 0.5747 0.7651



> Which value of total magnetization does entry 4 give?

0.0 μB/f.u.



> Look up the theoretical density of the third one.

3.89 g/cm³